No. 1
Below is crystalline BaPrAuSeS2 at its relaxed geometry, with properties calculated at the PBE-GGA level.

Unit cell a=7.441 b=7.441 c=10.930 alpha=90.00 beta=90.00 gamma=147.06
Atoms (fractional coordinates):
Ba1 0.239 0.761 0.750
Ba2 0.761 0.239 0.250
Pr1 0.000 0.000 0.000
Pr2 0.000 0.000 0.500
Au1 0.469 0.531 0.250
Au2 0.531 0.469 0.750
Se1 0.088 0.912 0.250
Se2 0.912 0.088 0.750
S1 0.367 0.633 0.062
S2 0.367 0.633 0.438
S3 0.633 0.367 0.562
S4 0.633 0.367 0.938

Space group: Cmcm, No. 63
ρ: 6.2 g/cm3
Electronic total energy: -61.90 eV per cell
Magnetic moment: 0.0 μB per formula unit
V: 329.0 Å³ per cell

---

No. 2
Below is crystalline BaPrAuSe2S at its relaxed geometry, with properties calculated at the PBE-GGA level.

Unit cell a=7.439 b=7.439 c=10.788 alpha=90.00 beta=90.00 gamma=146.42
Atoms (fractional coordinates):
Ba1 0.240 0.760 0.750
Ba2 0.760 0.240 0.250
Pr1 0.500 0.500 0.000
Pr2 0.500 0.500 0.500
Au1 0.030 0.970 0.250
Au2 0.970 0.030 0.750
Se1 0.144 0.856 0.057
Se2 0.144 0.856 0.443
Se3 0.856 0.144 0.557
Se4 0.856 0.144 0.943
S1 0.425 0.575 0.250
S2 0.575 0.425 0.750

Space group: Cmcm, No. 63
ρ: 6.7 g/cm3
Electronic total energy: -60.64 eV per cell
Magnetic moment: 0.0 μB per formula unit
V: 330.2 Å³ per cell

---

No. 3
Below is crystalline BaPrTeAuS2 at its relaxed geometry, with properties calculated at the PBE-GGA level.

Unit cell a=7.821 b=7.821 c=11.355 alpha=90.00 beta=90.00 gamma=148.51
Atoms (fractional coordinates):
Ba1 0.213 0.787 0.750
Ba2 0.787 0.213 0.250
Pr1 0.000 0.000 0.000
Pr2 0.000 0.000 0.500
Te1 0.103 0.897 0.250
Te2 0.897 0.103 0.750
Au1 0.481 0.519 0.250
Au2 0.519 0.481 0.750
S1 0.379 0.621 0.072
S2 0.379 0.621 0.428
S3 0.621 0.379 0.572
S4 0.621 0.379 0.928

Space group: Cmcm, No. 63
ρ: 6.1 g/cm3
Electronic total energy: -60.01 eV per cell
Magnetic moment: 0.0 μB per formula unit
V: 362.8 Å³ per cell

---

Question: Look up the ρ of the third one.
Answer: 6.1 g/cm3

---

What did the third record say?
Below is crystalline BaPrTeAuS2 at its relaxed geometry, with properties calculated at the PBE-GGA level.

Unit cell a=7.821 b=7.821 c=11.355 alpha=90.00 beta=90.00 gamma=148.51
Atoms (fractional coordinates):
Ba1 0.213 0.787 0.750
Ba2 0.787 0.213 0.250
Pr1 0.000 0.000 0.000
Pr2 0.000 0.000 0.500
Te1 0.103 0.897 0.250
Te2 0.897 0.103 0.750
Au1 0.481 0.519 0.250
Au2 0.519 0.481 0.750
S1 0.379 0.621 0.072
S2 0.379 0.621 0.428
S3 0.621 0.379 0.572
S4 0.621 0.379 0.928

Space group: Cmcm, No. 63
ρ: 6.1 g/cm3
Electronic total energy: -60.01 eV per cell
Magnetic moment: 0.0 μB per formula unit
V: 362.8 Å³ per cell